Run 1
NdPuZn2: relaxed, PBE-GGA.

Unit cell a=5.142 b=5.142 c=5.142 alpha=60.00 beta=60.00 gamma=60.00
Each line ends with the local moment (μB).
Element x y z (fractional)
Zn 0.250 0.250 0.250  0.03
Zn 0.750 0.750 0.750  0.03
Nd 0.500 0.500 0.500  0.17
Pu 0.000 0.000 0.000  5.45

Results
D(E_F)   7.477 states/eV/f.u.
Space group   No. 225
Crystal system   cubic

***

Run 2
NdPuZn2: relaxed, PBE-GGA.

Unit cell a=3.656 b=5.126 c=5.126 alpha=90.00 beta=90.00 gamma=90.00
Each line ends with the local moment (μB).
Element x y z (fractional)
Zn 0.000 0.000 0.500  0.03
Zn 0.000 0.500 0.000  0.03
Nd 0.500 0.000 0.000  0.07
Pu 0.500 0.500 0.500  5.54

Results
D(E_F)   7.509 states/eV/f.u.
Space group   No. 123
Crystal system   tetragonal

***

Ordering by calculated energy gives the sequence run 2, run 1, with the first entry being the most stable.

***

Run 1
Nd2PuZn: relaxed, PBE-GGA.

Unit cell a=3.470 b=3.470 c=11.698 alpha=81.47 beta=81.47 gamma=60.00
Each line ends with the local moment (μB).
Element x y z (fractional)
Zn 0.500 0.500 0.500  0.01
Nd 0.098 0.098 0.706  0.04
Nd 0.902 0.902 0.294  0.04
Pu 0.000 0.000 0.000  5.78

Results
D(E_F)   12.223 states/eV/f.u.
Space group   No. 166
Crystal system   trigonal

***

Run 2
Nd2PuZn: relaxed, PBE-GGA.

Unit cell a=3.637 b=3.637 c=8.586 alpha=90.00 beta=90.00 gamma=90.00
Each line ends with the local moment (μB).
Element x y z (fractional)
Zn 0.500 0.500 0.000  -0.02
Nd 0.000 0.000 0.786  0.08
Nd 0.000 0.000 0.214  0.08
Pu 0.500 0.500 0.500  5.65

Results
D(E_F)   9.638 states/eV/f.u.
Space group   No. 123
Crystal system   tetragonal

***

Ordering by calculated energy gives the sequence run 2, run 1, with the first entry being the most stable.

***

Run 1
NdPuZr: relaxed, PBE-GGA.

Unit cell a=3.363 b=3.363 c=7.702 alpha=102.61 beta=102.61 gamma=90.00
Each line ends with the local moment (μB).
Element x y z (fractional)
Nd 0.004 0.004 0.008  0.03
Zr 0.674 0.674 0.348  -0.14
Pu 0.322 0.322 0.644  5.39

Results
D(E_F)   6.437 states/eV/f.u.
Space group   No. 107
Crystal system   tetragonal

***

Run 2
NdPuZr: relaxed, PBE-GGA.

Unit cell a=3.378 b=3.378 c=8.354 alpha=90.00 beta=90.00 gamma=120.00
Each line ends with the local moment (μB).
Element x y z (fractional)
Nd 0.000 0.000 0.994  -0.01
Zr 0.333 0.667 0.655  -0.10
Pu 0.667 0.333 0.351  5.34

Results
D(E_F)   8.614 states/eV/f.u.
Space group   No. 156
Crystal system   trigonal

***

Ordering by calculated energy gives the sequence run 1, run 2, with the first entry being the most stable.